Compound: In2AgAuSe4
Source: Alexandria
Functional: PBE-GGA
Structure: relaxed

a b c (Å): 6.0684 6.0684 7.5751
angles (deg): 113.61 113.61 90.02
Positions (direct):
Se 0.6276 0.6276 0.7525
Se 0.3710 0.8767 0.2477
Se 0.8767 0.3710 0.2477
Se 0.1249 0.1249 0.7525
In 0.2500 0.7500 0.5001
In 0.7500 0.2500 0.5001
Ag 0.5012 0.5012 0.0025
Au 0.9988 0.9988 0.9975

Output
DFT total energy, eV/atom: -3.547
Space group: No. 42